(1)
A plane-wave DFT calculation with PBE-GGA was carried out for a geometry-optimized ScHgB2Rh structure.

Geometry as POSCAR:
```
ScHgB2Rh
1.0
4.4439 0.0000 0.0000
0.0000 4.7635 0.0000
0.0000 0.0000 4.4439
Sc B Rh Hg
1 2 1 1
Cartesian
0.0000 0.0000 0.0000
0.0000 0.0000 2.2220
2.2220 0.0000 0.0000
0.0000 2.3817 0.0000
2.2220 2.3817 2.2220
```

Calculated volume ... 94.07 Å³/cell
Formation enthalpy at 0 K ... 1526 meV per atom
Total moment ... 0.00 μB/f.u.

(2)
A plane-wave DFT calculation with PBE-GGA was carried out for a geometry-optimized LaMgAs2 structure.

Geometry as POSCAR:
```
LaMgAs2
1.0
-3.6044 -2.2469 -4.3635
-0.3785 -5.9898 -1.0290
-0.2524 3.9253 4.6485
As La Mg
2 1 1
Cartesian
-0.0003 -0.0006 -0.0004
-2.9240 -1.2196 -1.2054
-1.9915 -4.1184 -2.6963
-1.3111 -3.0911 0.4618
```

Calculated volume ... 94.35 Å³/cell
Formation enthalpy at 0 K ... -729 meV per atom
Total moment ... 0.00 μB/f.u.

(3)
A plane-wave DFT calculation with PBE-GGA was carried out for a geometry-optimized PmDy4Ho7 structure.

Geometry as POSCAR:
```
PmDy4Ho7
1.0
6.0105 -1.3150 2.8598
1.1653 5.8832 2.4671
2.6978 -1.8820 11.2093
Pm Dy Ho
1 4 7
Cartesian
0.0000 0.0000 0.0000
4.6336 2.5448 6.2776
5.2401 0.1414 10.2587
7.0392 2.7082 11.7691
2.8344 -0.0219 4.7671
7.9673 0.2011 14.2008
1.9063 2.4852 2.3355
2.4594 0.5763 8.1437
7.4142 2.1100 8.3926
4.2971 3.2351 9.6702
3.0052 -0.6575 1.4299
5.5766 -0.5489 6.8660
```

Calculated volume ... 381.04 Å³/cell
Formation enthalpy at 0 K ... 87 meV per atom
Relative energy among the computed polymorphs ... 0.000 eV/atom
Total moment ... 0.00 μB/f.u.

(4)
A plane-wave DFT calculation with PBE-GGA was carried out for a geometry-optimized Nd3YSb3 structure.

Geometry as POSCAR:
```
Nd3YSb3
1.0
-9.0633 -1.8556 1.9086
0.0441 -6.8765 -6.4761
2.6616 -6.2048 6.6065
Nd Y Sb
12 4 12
Cartesian
-6.9689 -4.8455 0.6529
-5.9282 -13.9280 1.9012
-6.5546 -8.1840 -0.7143
-0.7130 -7.9874 -2.8574
-1.1400 -2.6783 0.3656
-1.0623 -10.4535 -0.2150
0.9175 -6.6206 1.0778
-0.7265 -6.9225 4.9012
-3.9583 -8.5579 4.6416
-4.3067 -10.1184 1.3812
-3.9899 -4.2009 3.5028
-3.7146 -5.1243 -2.4039
1.8432 -9.8249 2.5645
-6.8858 -5.7656 5.0839
-2.7214 -6.3938 0.8728
-4.9513 -7.8895 -4.4433
-4.1591 -11.9150 3.9698
-7.2235 -3.2121 3.3394
-7.3438 -10.9424 1.1644
-0.4868 -5.2061 -1.3864
-0.8785 -4.4473 2.9518
-2.2697 -6.4793 -5.1492
2.3175 -7.1677 4.1112
-1.3665 -8.7391 2.4030
-4.1945 -3.4091 0.2177
-3.6384 -12.7165 -0.2782
-5.4079 -7.0322 2.3056
-3.4944 -8.3546 -1.4153
```

Calculated volume ... 842.87 Å³/cell
Raw formation energy ... -1049 meV per atom
Relative energy among the computed polymorphs ... 0.000 eV/atom
Total moment ... 0.00 μB/f.u.

(5)
A plane-wave DFT calculation with PBE-GGA was carried out for a geometry-optimized CuSnH2Pd5 structure.

Geometry as POSCAR:
```
CuSnH2Pd5
1.0
4.0873 0.0000 0.0000
0.0000 4.0873 0.0000
0.0000 0.0000 7.3375
Cu Sn H Pd
1 1 2 5
Cartesian
0.0000 0.0000 0.0000
2.0436 2.0436 3.6688
0.0000 0.0000 1.7468
0.0000 0.0000 5.5908
0.0000 0.0000 3.6688
0.0000 2.0436 5.6781
2.0436 0.0000 1.6594
0.0000 2.0436 1.6594
2.0436 0.0000 5.6781
```

Calculated volume ... 122.58 Å³/cell
Total moment ... 0.00 μB/f.u.

(6)
A plane-wave DFT calculation with PBE-GGA was carried out for a geometry-optimized Pr5AlIn3 structure.

Geometry as POSCAR:
```
Pr5AlIn3
1.0
6.7403 0.0000 0.0000
0.0000 9.6801 0.0000
0.0000 -4.8400 8.3830
Pr Al In
10 2 6
Cartesian
0.0000 4.8400 2.7944
3.3701 0.0000 5.5886
0.0000 0.0000 5.5886
3.3701 4.8400 2.7944
5.0552 3.4843 6.0347
5.0552 -1.3558 2.3483
5.0552 2.7115 0.0000
1.6851 1.3558 2.3483
1.6851 6.1958 6.0347
1.6851 6.9686 0.0000
0.0000 0.0000 0.0000
3.3701 0.0000 0.0000
5.0552 1.7948 3.1086
5.0552 6.6348 5.2744
5.0552 6.0904 0.0000
1.6851 3.0453 5.2744
1.6851 -1.7948 3.1086
1.6851 3.5897 0.0000
```

Calculated volume ... 546.96 Å³/cell
Formation enthalpy at 0 K ... -386 meV per atom
Total moment ... 0.00 μB/f.u.

Number 1: final energy -19.710 eV per cell. Number 2: final energy -18.735 eV per cell. Number 3: final energy -54.157 eV per cell. Number 4: final energy -161.922 eV per cell. Number 5: final energy -42.388 eV per cell. Number 6: final energy -78.661 eV per cell.